Entry from the Alexandria database: MgPaNi5 after structural relaxation (PBE).

Calculated volume ... 101.9 Å³/f.u.
Total energy ... -5.920 eV per atom

POSCAR file:
```
MgPaNi5
1.0
2.598 -3.862 0.000
2.598 3.862 0.000
0.000 0.000 5.080
Mg Pa Ni
1 1 5
Direct
0.000 0.000 0.000
0.500 0.500 0.500
0.500 0.000 0.247
0.000 0.500 0.247
0.000 0.000 0.500
0.000 0.500 0.753
0.500 0.000 0.753
```

---

Entry from the Alexandria database: MgPaNiPt after structural relaxation (PBE).

Calculated volume ... 74.2 Å³/f.u.
Total energy ... -6.296 eV per atom

POSCAR file:
```
MgPaNiPt
1.0
4.716 0.000 0.000
2.358 4.085 0.000
2.358 1.362 3.851
Ni Mg Pa Pt
1 1 1 1
Direct
0.000 0.000 0.000
0.250 0.250 0.250
0.750 0.750 0.750
0.500 0.500 0.500
```

---

- The lowest calculated volume belongs to which entry?
  MgPaNiPt

---

- Among the records above, which one has the lowest calculated volume?
  MgPaNiPt

---

- Number 2 is which compound?
  MgPaNiPt